Below is an optimized crystal structure of LiLaErCu, with properties calculated at the PBE level.

Cell: 5.1474 5.1474 5.1474 Å, 60.00 60.00 60.00°
Closest atoms and distances in Å follow each position.
Fractional coordinates of all 4 atoms:
Cu (0.2500, 0.2500, 0.2500)  4 Er 3.15, 4 La 3.15
Er (0.5000, 0.5000, 0.5000)  4 Cu 3.15, 4 Li 3.15
La (0.0000, 0.0000, 0.0000)  4 Cu 3.15, 4 Li 3.15
Li (0.7500, 0.7500, 0.7500)  4 Er 3.15, 4 La 3.15

Values from the calculation:
**Total magnetization**: 0.0 μB per formula unit
**Electronic total energy**: -15.48 eV/f.u.
**ΔH_f (0 K)**: 0.02 eV per formula unit
**DOS at the Fermi energy**: 5.52 states/eV per cell
**SG**: F-43m
**Calculated density**: 6.49 g/cm³